An optimized crystal structure of CsCr3C. Source: Alexandria, functional PBE.

POSCAR file:
```
CsCr3C
1.0
-0.068 2.352 3.739
-0.200 -3.737 2.347
4.412 -0.133 0.164
Cs Cr C
1 3 1
Cartesian
2.072 -0.759 3.125 Cs
-0.100 -1.868 1.174 Cr
2.206 -0.067 0.082 Cr
-0.034 1.176 1.869 Cr
0.000 0.000 0.000 C
```

Computed properties:
Total DFT energy (no corrections) (eV/atom): -6.4229
Calculated formation energy (eV/atom): 1.367


An optimized crystal structure of CsCrFe2C. Source: Alexandria, functional PBE.

POSCAR file:
```
CsCrFe2C
1.0
4.755 0.000 0.000
0.000 5.304 0.000
0.000 0.000 4.755
Cs Cr C Fe
1 1 1 2
Cartesian
0.000 0.000 0.000 Cs
0.000 2.652 0.000 Cr
2.377 2.652 2.377 C
0.000 0.000 2.377 Fe
2.377 0.000 0.000 Fe
```

Computed properties:
Total DFT energy (no corrections) (eV/atom): -3.5976
Calculated formation energy (eV/atom): 3.728


An optimized crystal structure of Cs2LiCrC6N6. Source: Alexandria, functional PBE.

POSCAR file:
```
Cs2LiCrC6N6
1.0
0.000 5.440 5.440
5.440 0.000 5.440
5.440 5.440 0.000
Cs Li Cr C N
2 1 1 6 6
Cartesian
8.159 8.159 8.159 Cs
2.720 2.720 2.720 Cs
5.440 5.440 5.440 Li
0.000 0.000 0.000 Cr
8.843 5.440 5.440 C
2.036 5.440 5.440 C
5.440 5.440 8.843 C
5.440 5.440 2.036 C
5.440 8.843 5.440 C
5.440 2.036 5.440 C
7.668 5.440 5.440 N
5.440 5.440 7.668 N
3.212 5.440 5.440 N
5.440 5.440 3.212 N
5.440 7.668 5.440 N
5.440 3.212 5.440 N
```

Computed properties:
Total DFT energy (no corrections) (eV/atom): -7.5528


An optimized crystal structure of CsMnCrC6N6. Source: Alexandria, functional PBE.

POSCAR file:
```
CsMnCrC6N6
1.0
0.000 5.419 5.419
5.419 0.000 5.419
5.419 5.419 0.000
Cs Mn Cr C N
1 1 1 6 6
Cartesian
8.128 8.128 8.128 Cs
0.000 0.000 0.000 Mn
5.419 5.419 5.419 Cr
3.378 5.419 5.419 C
5.419 3.378 5.419 C
5.419 7.459 5.419 C
7.459 5.419 5.419 C
5.419 5.419 7.459 C
5.419 5.419 3.378 C
2.205 5.419 5.419 N
5.419 2.205 5.419 N
5.419 8.633 5.419 N
8.633 5.419 5.419 N
5.419 5.419 8.633 N
5.419 5.419 2.205 N
```

Computed properties:
Total DFT energy (no corrections) (eV/atom): -8.2399


no.,DOS at the Fermi energy (states/eV/f.u.)
1,8.52
2,7.64
3,0.00
4,6.46